A plane-wave DFT calculation with SCAN was carried out for a crystal of Ac relaxed with PBEsol.

```
data_Ac
_space_group_name_H-M_alt 'P 63/m m c'
_space_group_IT_number 194
_space_group_name_Hall '-P 6c 2c'
_cell_length_a 3.9225
_cell_length_b 3.9225
_cell_length_c 12.6950
_cell_angle_alpha 90.00
_cell_angle_beta 90.00
_cell_angle_gamma 120.00
loop_
_atom_site_label
_atom_site_type_symbol
_atom_site_fract_x
_atom_site_fract_y
_atom_site_fract_z
_atom_site_occupancy
Ac1 Ac 0.0000 0.0000 0.0000 1
Ac2 Ac 0.3333 0.6667 0.2500 1
```

Summary:
* energy relative to the lowest polymorph listed for this composition: 0.0 meV/atom
* V: 42.29 Å³ per atom
* electronic total energy: -90.47 eV per atom
* formation energy from the elements: 0.000 eV per atom



A plane-wave DFT calculation with SCAN was carried out for a crystal of Mg3Mo relaxed with PBEsol.

```
data_Mg3Mo
_space_group_name_H-M_alt 'P m -3 m'
_space_group_IT_number 221
_space_group_name_Hall '-P 4 2 3'
_cell_length_a 4.165
_cell_length_b 4.165
_cell_length_c 4.165
_cell_angle_alpha 90.00
_cell_angle_beta 90.00
_cell_angle_gamma 90.00
loop_
_atom_site_label
_atom_site_type_symbol
_atom_site_fract_x
_atom_site_fract_y
_atom_site_fract_z
_atom_site_occupancy
Mg1 Mg 0.000 0.000 0.500 1
Mo1 Mo 0.500 0.500 0.500 1
```

Summary:
* energy relative to the lowest polymorph listed for this composition: 29.6 meV/atom
* V: 18.07 Å³ per atom
* electronic total energy: -12.14 eV per atom
* formation energy from the elements: 0.314 eV per atom



A plane-wave DFT calculation with SCAN was carried out for a crystal of Ta11Ir4 relaxed with PBEsol.

```
data_Ta11Ir4
_space_group_name_H-M_alt 'P 42/m n m'
_space_group_IT_number 136
_space_group_name_Hall '-P 4n 2n'
_cell_length_a 9.869
_cell_length_b 9.869
_cell_length_c 5.134
_cell_angle_alpha 90.00
_cell_angle_beta 90.00
_cell_angle_gamma 90.00
loop_
_atom_site_label
_atom_site_type_symbol
_atom_site_fract_x
_atom_site_fract_y
_atom_site_fract_z
_atom_site_occupancy
Ta1 Ta 0.000 0.000 0.000 1
Ta2 Ta 0.035 0.371 0.500 1
Ta3 Ta 0.102 0.102 0.500 1
Ta4 Ta 0.185 0.815 0.253 1
Ir1 Ir 0.065 0.261 0.000 1
```

Summary:
* V: 16.67 Å³ per atom
* electronic total energy: -68.38 eV per atom
* formation energy from the elements: -0.592 eV per atom



A plane-wave DFT calculation with SCAN was carried out for a crystal of HfTl4Te4 relaxed with PBEsol.

```
data_HfTl4Te4
_space_group_name_H-M_alt 'R -3'
_space_group_IT_number 148
_space_group_name_Hall '-R 3'
_cell_length_a 14.4582
_cell_length_b 14.4582
_cell_length_c 13.9200
_cell_angle_alpha 90.00
_cell_angle_beta 90.00
_cell_angle_gamma 120.00
loop_
_atom_site_label
_atom_site_type_symbol
_atom_site_fract_x
_atom_site_fract_y
_atom_site_fract_z
_atom_site_occupancy
Hf1 Hf 0.0000 0.0000 0.0000 1
Hf2 Hf 0.0000 0.0000 0.2543 1
Tl1 Tl 0.0511 0.6104 0.5766 1
Tl2 Tl 0.0643 0.8042 0.4242 1
Te1 Te 0.0365 0.8606 0.1242 1
Te2 Te 0.0449 0.8536 0.6516 1
```

Summary:
* raw formation energy: -47.4 kJ per mole of atoms
* V: 31.11 Å³ per atom
* electronic total energy: -56.17 eV per atom